1.
A plane-wave DFT calculation with PBE-GGA was carried out for crystalline K3Mn2SnBr9 at its relaxed geometry.

POSCAR file:
```
K3Mn2SnBr9
1.0
7.7217 0.0000 0.0000
-3.8608 6.6872 0.0000
0.0000 0.0000 9.8253
K Mn Sn Br
3 2 1 9
direct
0.3333 0.6667 0.7210
0.0000 0.0000 0.0000
0.6667 0.3333 0.2790
0.3333 0.6667 0.1615
0.6667 0.3333 0.8385
0.0000 0.0000 0.5000
0.8292 0.1708 0.6877
0.8292 0.6584 0.6877
0.3416 0.1708 0.6877
0.6584 0.8292 0.3123
0.1708 0.3416 0.3123
0.1708 0.8292 0.3123
0.5000 0.0000 0.0000
0.0000 0.5000 0.0000
0.5000 0.5000 0.0000
```

The value obtained for the uncorrected formation energy is -1.126 eV per atom.

***

2.
A plane-wave DFT calculation with PBE-GGA was carried out for crystalline Ti6CrBi3 at its relaxed geometry.

POSCAR file:
```
Ti6CrBi3
1.0
4.8106 0.0000 0.0000
0.0000 7.7847 -3.7024
0.0000 -0.7747 10.8838
Ti Cr Bi
12 2 6
direct
0.7500 0.6079 0.0780
0.2500 0.3921 0.9220
0.7500 0.0717 0.1992
0.2500 0.9283 0.8008
0.7500 0.9083 0.6441
0.2500 0.0917 0.3559
0.7500 0.2990 0.4856
0.2500 0.7010 0.5144
0.7500 0.4784 0.3294
0.2500 0.5216 0.6706
0.7500 0.8281 0.8794
0.2500 0.1719 0.1206
0.7500 0.6255 0.6061
0.2500 0.3745 0.3939
0.7500 0.8866 0.3684
0.2500 0.1134 0.6316
0.7500 0.4486 0.7849
0.2500 0.5514 0.2151
0.7500 0.2015 0.9735
0.2500 0.7985 0.0265
```

The calculation puts the formation enthalpy at 0 K at -0.020 eV per atom. For the density of states at the Fermi level, the calculation gives 23.74 states/eV per cell.

***

3.
A plane-wave DFT calculation with PBE-GGA was carried out for crystalline Y3HfGa at its relaxed geometry.

POSCAR file:
```
Y3HfGa
1.0
-5.1617 -1.6210 -0.3419
1.4877 -4.0431 -3.2905
0.7290 -3.2269 4.2946
Y Hf Ga
3 1 1
direct
0.0000 0.5000 0.0000
0.0000 0.0000 0.5000
0.5000 0.0000 0.0000
0.5000 0.5000 0.5000
0.0000 0.0000 0.0000
```

The calculation puts the formation enthalpy at 0 K at 0.433 eV per atom. For the distance to the lowest polymorph of the same formula, the calculation gives 0 meV per atom. For the density of states at the Fermi level, the calculation gives 9.44 states/eV per cell.

***

4.
A plane-wave DFT calculation with PBE-GGA was carried out for crystalline Tb6NdSm3Y2 at its relaxed geometry.

POSCAR file:
```
Tb6NdSm3Y2
1.0
-4.4868 4.3006 -0.1164
-0.4033 -4.8025 3.9259
7.3379 6.3511 6.8899
Tb Nd Sm Y
6 1 3 2
direct
0.9162 0.5829 0.7503
0.7502 0.7502 0.2496
0.0838 0.4171 0.2497
0.5829 0.9162 0.7503
0.2498 0.2498 0.7504
0.4171 0.0838 0.2497
0.0000 0.0000 0.0000
0.1669 0.8331 0.5000
0.8331 0.1669 0.5000
0.5000 0.5000 0.5000
0.3333 0.6667 0.0000
0.6667 0.3333 0.0000
```

The calculation puts the formation enthalpy at 0 K at 0.014 eV per atom. For the density of states at the Fermi level, the calculation gives 15.61 states/eV per cell.

***

5.
A plane-wave DFT calculation with PBE-GGA was carried out for crystalline Mg2ZrPd4 at its relaxed geometry.

POSCAR file:
```
Mg2ZrPd4
1.0
-3.1564 -1.1551 2.3812
1.0240 -3.9505 -0.5589
5.4456 2.8465 5.0363
Mg Zr Pd
2 1 4
direct
0.7458 0.7458 0.4916
0.2542 0.2542 0.5084
0.0000 0.0000 0.0000
0.3760 0.8760 0.7519
0.8760 0.3760 0.7519
0.6240 0.1240 0.2481
0.1240 0.6240 0.2481
```

The calculation puts the formation enthalpy at 0 K at -0.529 eV per atom. For the density of states at the Fermi level, the calculation gives 3.84 states/eV per cell.

***

6.
A plane-wave DFT calculation with PBE-GGA was carried out for crystalline AlPIr2 at its relaxed geometry.

POSCAR file:
```
AlPIr2
1.0
5.8715 0.0224 0.0009
3.9287 4.3636 -0.0009
-4.6513 -2.7490 2.2987
P Ir Al
1 2 1
direct
0.5308 0.5308 0.0000
0.9690 0.9690 0.0000
0.7051 0.2051 0.5000
0.2951 0.7951 0.5000
```

The calculation puts the formation enthalpy at 0 K at -0.416 eV per atom. For the distance to the lowest polymorph of the same formula, the calculation gives 10 meV per atom. For the density of states at the Fermi level, the calculation gives 1.68 states/eV per cell.

***

7.
A plane-wave DFT calculation with PBE-GGA was carried out for crystalline CoNiP2 at its relaxed geometry.

POSCAR file:
```
CoNiP2
1.0
-0.4196 -1.6872 6.8501
1.0769 -3.8136 5.8518
2.3328 -1.4186 6.5186
Co Ni P
1 1 2
direct
0.2500 0.2500 0.2500
0.7500 0.7500 0.7500
0.9983 0.9983 0.9983
0.5017 0.5017 0.5017
```

The calculation puts the formation enthalpy at 0 K at -0.189 eV per atom. For the distance to the lowest polymorph of the same formula, the calculation gives 155 meV per atom. For the density of states at the Fermi level, the calculation gives 2.76 states/eV per cell.

***

8.
A plane-wave DFT calculation with PBE-GGA was carried out for crystalline SnSb at its relaxed geometry.

POSCAR file:
```
SnSb
1.0
3.7908 0.0000 0.0000
0.0000 3.7908 0.0000
0.0000 0.0000 3.7908
Sb Sn
1 1
direct
0.0000 0.0000 0.0000
0.5000 0.5000 0.5000
```

The value obtained for the uncorrected formation energy is 0.126 eV per atom. For the density of states at the Fermi level, the calculation gives 1.70 states/eV per cell.

***

9.
A plane-wave DFT calculation with PBE-GGA was carried out for crystalline Ce2CdPb3 at its relaxed geometry.

POSCAR file:
```
Ce2CdPb3
1.0
-3.1626 0.6030 -3.9871
-5.1132 -1.6334 3.8088
3.4302 5.9589 1.4738
Ce Cd Pb
2 1 3
direct
0.6803 0.1803 0.3605
0.3197 0.8197 0.6395
0.0000 0.5000 0.0000
0.3447 0.3447 0.6895
0.0000 0.0000 0.0000
0.6553 0.6553 0.3105
```

The calculation puts the formation enthalpy at 0 K at -0.098 eV per atom. For the density of states at the Fermi level, the calculation gives 13.02 states/eV per cell.

***

10.
A plane-wave DFT calculation with PBE-GGA was carried out for crystalline SnBiAuO5 at its relaxed geometry.

POSCAR file:
```
SnBiAuO5
1.0
-3.1035 -5.0641 0.6312
4.5596 -2.2699 -3.1197
2.6950 2.6700 7.4949
Sn Bi Au O
2 2 2 10
direct
0.0000 0.0000 0.5000
0.0000 0.0000 0.0000
0.3397 0.6603 0.2500
0.6603 0.3397 0.7500
0.7404 0.2596 0.2500
0.2596 0.7404 0.7500
0.9695 0.0305 0.2500
0.0305 0.9695 0.7500
0.8068 0.2763 0.0290
0.1932 0.7237 0.9710
0.7237 0.1932 0.4710
0.2763 0.8068 0.5290
0.7193 0.6715 0.3482
0.2807 0.3285 0.6518
0.3285 0.2807 0.1518
0.6715 0.7193 0.8482
```

The value obtained for the uncorrected formation energy is -0.879 eV per atom.

***

11.
A plane-wave DFT calculation with PBE-GGA was carried out for crystalline TbTiSi2Os at its relaxed geometry.

POSCAR file:
```
TbTiSi2Os
1.0
4.0004 0.0000 0.0000
0.0000 4.0004 0.0000
-2.0002 -2.0002 5.3972
Tb Ti Si Os
1 1 2 1
direct
0.0000 0.0000 0.0000
0.2500 0.7500 0.5000
0.6117 0.6117 0.2234
0.3883 0.3883 0.7766
0.7500 0.2500 0.5000
```

The value obtained for the uncorrected formation energy is -0.794 eV per atom. For the density of states at the Fermi level, the calculation gives 2.04 states/eV per cell.

***

12.
A plane-wave DFT calculation with PBE-GGA was carried out for crystalline Tb3Pm2Nd4 at its relaxed geometry.

POSCAR file:
```
Tb3Pm2Nd4
1.0
3.6421 0.0000 0.0000
-1.8211 3.1542 0.0000
0.0000 0.0000 27.0603
Tb Pm Nd
3 2 4
direct
0.0000 0.0000 0.9821
0.0000 0.0000 0.3233
0.6667 0.3333 0.6536
0.6667 0.3333 0.0866
0.6667 0.3333 0.8735
0.0000 0.0000 0.5453
0.6667 0.3333 0.4328
0.6667 0.3333 0.2179
0.0000 0.0000 0.7622
```

The calculation puts the formation enthalpy at 0 K at 0.057 eV per atom. For the distance to the lowest polymorph of the same formula, the calculation gives 9 meV per atom. For the density of states at the Fermi level, the calculation gives 17.20 states/eV per cell.

***

Respective calculated total energy values: -3.839 -6.884 -6.041 -4.955 -5.173 -7.134 -6.116 -3.936 -4.083 -5.373 -7.715 -4.662 eV/atom.